Pr2UReN6, relaxed, DFT GGA-PBE; crystal system = monoclinic; SG = P2_1/c (14); E = -9.27 eV/atom; size of the total moment = 0.00 μB/cell; V = 275 Å³ per cell; formation energy (no corrections) = -909.9 kJ/mol of formula units
1.0
5.8208 0.0000 -0.0624
0.0000 5.7969 0.0000
-0.0398 0.0000 8.1641
Pr N U Re
4 12 2 2
direct
0.9884 0.0325 0.7527
0.4884 0.4675 0.2527
0.5116 0.5325 0.7473
0.0116 0.9675 0.2473
0.7658 0.7842 0.5471
0.2658 0.7158 0.0471
0.0847 0.4864 0.7621
0.5847 0.0136 0.2621
0.7866 0.7753 0.9537
0.9153 0.5136 0.2379
0.2866 0.7247 0.4537
0.7342 0.2842 0.9529
0.2134 0.2247 0.0463
0.7134 0.2753 0.5463
0.4153 0.9864 0.7379
0.2342 0.2158 0.4529
0.0000 0.5000 0.5000
0.5000 0.0000 0.0000
0.0000 0.5000 0.0000
0.5000 0.0000 0.5000